AcCd2Au | GGA-PBE | relaxed

Calculated values
Space group: No. 63
V (A^3/atom): 26.26
Calculated formation energy (eV/atom): -0.506
ρ (kg/m³): 10257

a = 4.7119 Å, b = 5.8906 Å, c = 8.2582 Å
α = 90.00°, β = 90.00°, γ = 113.58°
With the nearest neighbours (Å) after each atom.
Atoms (fractional coordinates):
1 Ac 0.9306 0.8609 0.2500  3 Au 3.17-3.24, 6 Cd 3.54
2 Ac 0.0694 0.1391 0.7500  3 Au 3.17-3.24, 6 Cd 3.54
3 Cd 0.3618 0.7232 0.5562  3 Au 2.93-2.99, 2 Cd 3.13-3.20
4 Cd 0.6382 0.2768 0.4438  3 Au 2.93-2.99, 2 Cd 3.13-3.20
5 Cd 0.3618 0.7232 0.9438  3 Au 2.93-2.99, 2 Cd 3.13-3.20
6 Cd 0.6382 0.2768 0.0562  3 Au 2.93-2.99, 2 Cd 3.13-3.20
7 Au 0.7761 0.5519 0.7500  6 Cd 2.93-2.99, 3 Ac 3.17-3.24
8 Au 0.2239 0.4481 0.2500  6 Cd 2.93-2.99, 3 Ac 3.17-3.24

=====

CsCd6Ag | GGA-PBE | relaxed

Calculated values
Space group: No. 123
V (A^3/atom): 29.21
Calculated formation energy (eV/atom): -0.006
ρ (kg/m³): 6503

a = 4.9518 Å, b = 4.9518 Å, c = 9.5309 Å
α = 90.00°, β = 90.00°, γ = 90.00°
With the nearest neighbours (Å) after each atom.
Atoms (fractional coordinates):
1 Cs 0.0000 0.0000 0.0000  16 Cd 3.81-4.07
2 Cd 0.5000 0.0000 0.6608  2 Ag 2.91, 3 Cd 3.02-3.06
3 Cd 0.0000 0.5000 0.6608  2 Ag 2.91, 3 Cd 3.02-3.06
4 Cd 0.5000 0.5000 0.1577  5 Cd 3.01-3.02
5 Cd 0.5000 0.5000 0.8423  5 Cd 3.01-3.02
6 Cd 0.0000 0.5000 0.3392  2 Ag 2.91, 3 Cd 3.02-3.06
7 Cd 0.5000 0.0000 0.3392  2 Ag 2.91, 3 Cd 3.02-3.06
8 Ag 0.0000 0.0000 0.5000  8 Cd 2.91

=====

YV2H | GGA-PBE | relaxed

Calculated values
Space group: No. 227
V (A^3/atom): 15.31
ρ (kg/m³): 5200
Raw total energy (eV for the cell shown): -55.07

a = 5.5724 Å, b = 5.5724 Å, c = 5.5758 Å
α = 60.02°, β = 60.02°, γ = 90.00°
With the nearest neighbours (Å) after each atom.
Atoms (fractional coordinates):
1 Y 0.0000 0.0000 0.0000  12 V 3.27, 4 H 3.41, 4 Y 3.41
2 Y 0.7500 0.2500 0.5000  12 V 3.27, 4 H 3.41, 4 Y 3.41
3 H 0.5000 0.5000 0.0000  4 V 1.71
4 H 0.2500 0.7500 0.5000  4 V 1.71
5 V 0.3750 0.1250 0.2500  2 H 1.71
6 V 0.3750 0.6250 0.2500  2 H 1.71
7 V 0.3750 0.6250 0.7500  2 H 1.71
8 V 0.8750 0.6250 0.7500  2 H 1.71

=====

LiPdPtPb | GGA-PBE | relaxed

Calculated values
Space group: No. 119
V (A^3/atom): 16.93
Calculated formation energy (eV/atom): -0.404
ρ (kg/m³): 12645

a = 4.1546 Å, b = 4.1546 Å, c = 4.9007 Å
α = 115.07°, β = 115.08°, γ = 90.00°
With the nearest neighbours (Å) after each atom.
Atoms (fractional coordinates):
1 Li 0.2500 0.7500 0.5000  4 Pt 2.86, 4 Pd 2.86, 4 Pb 2.94
2 Pd 0.5000 0.5001 0.0000  4 Li 2.86, 4 Pb 2.86, 4 Pt 2.94
3 Pt 0.0000 0.9999 0.0000  4 Li 2.86, 4 Pb 2.86, 4 Pd 2.94
4 Pb 0.7500 0.2500 0.5000  4 Pd 2.86, 4 Pt 2.86, 4 Li 2.94

=====

NdPuIn4 | GGA-PBE | relaxed

Calculated values
Space group: No. 216
V (A^3/atom): 26.38
Calculated formation energy (eV/atom): -0.256
ρ (kg/m³): 8892

a = 6.0715 Å, b = 6.0715 Å, c = 6.0715 Å
α = 60.00°, β = 60.00°, γ = 60.00°
With the nearest neighbours (Å) after each atom.
Atoms (fractional coordinates):
1 In 0.6251 0.6251 0.1248  6 In 3.03-3.04
2 In 0.6251 0.1248 0.6251  6 In 3.03-3.04
3 In 0.6251 0.6251 0.6251  6 In 3.03-3.04
4 In 0.1248 0.6251 0.6251  6 In 3.03-3.04
5 Nd 0.2500 0.2500 0.2500  12 In 3.56, 4 Pu 3.72
6 Pu 0.0000 0.0000 0.0000  12 In 3.56, 4 Nd 3.72

=====

UMoOs2 | GGA-PBE | relaxed

Calculated values
Space group: No. 123
V (A^3/atom): 16.73
Calculated formation energy (eV/atom): 0.014
ρ (kg/m³): 17725

a = 2.9808 Å, b = 2.9808 Å, c = 7.5328 Å
α = 90.00°, β = 90.00°, γ = 90.00°
With the nearest neighbours (Å) after each atom.
Atoms (fractional coordinates):
1 Os 0.0000 0.0000 0.7751  4 Mo 2.70, 4 U 2.96, 4 Os 2.98
2 Os 0.0000 0.0000 0.2249  4 Mo 2.70, 4 U 2.96, 4 Os 2.98
3 Mo 0.5000 0.5000 0.0000  8 Os 2.70, 4 Mo 2.98
4 U 0.5000 0.5000 0.5000  8 Os 2.96, 4 U 2.98

=====

AlTeMoPt2 | GGA-PBE | relaxed

Calculated values
Space group: No. 123
V (A^3/atom): 25.20
ρ (kg/m³): 8442
Formation energy (no corrections) (eV/atom): 1.35

a = 4.9578 Å, b = 5.1270 Å, c = 4.9578 Å
α = 90.00°, β = 90.00°, γ = 90.00°
With the nearest neighbours (Å) after each atom.
Atoms (fractional coordinates):
1 Mo 0.5000 0.5000 0.5000  4 Al 3.51, 8 Pt 3.57
2 Te 0.0000 0.0000 0.0000  4 Pt 2.48, 2 Al 2.56
3 Al 0.0000 0.5000 0.0000  2 Te 2.56
4 Pt 0.0000 0.0000 0.5000  2 Te 2.48
5 Pt 0.5000 0.0000 0.0000  2 Te 2.48